AlCr | PBE-GGA | relaxed

a = 2.634 Å, b = 2.634 Å, c = 8.394 Å
α = 90.00°, β = 90.00°, γ = 112.21°
Positions (direct):
Al 0.250 0.750 0.856
Al 0.750 0.250 0.144
Cr 0.250 0.750 0.391
Cr 0.750 0.250 0.609

Crystal system: orthorhombic
DFT formation energy: 84 meV/atom
Size of the total moment: 0.000 μB/atom